## CrTcO (PBE with a Hubbard U)

Data for a relaxed CrTcO crystal.

```
data_CrTcO
_chemical_formula_sum 'Cr4 Tc4 O4'
_cell_length_a 10.978
_cell_length_b 3.022
_cell_length_c 5.002
_cell_angle_alpha 90.00
_cell_angle_beta 101.28
_cell_angle_gamma 90.00
_symmetry_space_group_name_H-M 'C 1 m 1'
_symmetry_Int_Tables_number 8
loop_
_symmetry_equiv_pos_as_xyz
'x,y,z'
'x,-y,z'
'x+1/2,y+1/2,z'
'x+1/2,-y+1/2,z'
loop_
_atom_site_label
_atom_site_fract_x
_atom_site_fract_y
_atom_site_fract_z
_atom_site_occupancy
Cr1 0.000 0.000 0.000 1
Cr2 0.014 0.500 0.506 1
Tc1 0.219 0.500 0.150 1
Tc2 0.220 0.000 0.783 1
O1 0.408 0.000 0.784 1
O2 0.411 0.500 0.311 1
```

Values from the calculation:
distance to the lowest polymorph of the same formula = 4.3081 eV/atom
magnetic moment = 3.15 μB/f.u.
volume = 162.7 Å³ per cell
E_tot = -8.015 eV per atom